VASP calculation (PBE with a Hubbard U) on crystalline Na5Mn2P2C2O14 at its relaxed geometry.

```
Na5Mn2P2C2O14
1.0
-4.969 -0.820 4.644
2.163 -4.463 1.525
4.972 4.385 6.095
Na Mn P C O
5 2 2 2 14
Direct
0.244 0.758 0.751 Na
0.756 0.758 0.751 Na
0.742 0.246 0.254 Na
0.258 0.246 0.254 Na
0.500 0.761 0.079 Na
0.500 0.225 0.637 Mn
0.000 0.784 0.354 Mn
0.000 0.292 0.579 P
0.500 0.705 0.412 P
0.500 0.268 0.935 C
0.000 0.724 0.079 C
0.000 0.711 0.940 O
0.500 0.042 0.874 O
0.500 0.473 0.851 O
0.185 0.225 0.667 O
0.815 0.225 0.667 O
0.000 0.595 0.544 O
0.500 0.821 0.569 O
0.000 0.155 0.424 O
0.500 0.405 0.425 O
0.682 0.791 0.319 O
0.318 0.791 0.319 O
0.000 0.526 0.171 O
0.000 0.946 0.150 O
0.500 0.288 0.079 O
```

energy above the lowest structure with this stoichiometry	0.08	kcal/mol of atoms